The following is a DFT calculation (PBE+U) of an optimized crystal structure of TaV2O.

The calculation puts the total energy at -0.282 Ha/atom. Its crystal system is tetragonal. The calculated density is 7.5 g/cm3.

a b c (Å): 5.647 5.647 5.647
angles (deg): 117.59 117.59 94.23
Positions (direct):
Ta  0.000  0.000  0.000
Ta  0.750  0.250  0.500
V  0.247  0.125  0.622
V  0.375  0.753  0.878
V  0.503  0.625  0.378
V  0.875  0.497  0.122
O  0.250  0.750  0.500
O  0.500  0.500  0.000